1.
{
  "formula": "SrScBr3",
  "functional": "PBE-GGA",
  "state": "optimized geometry",
  "total_magnetization_mub_per_fu": 0.20,
  "final_energy_ev_per_cell": -19.24,
  "dos_ef_per_ev_atom": 1.074,
  "volume_a3_per_atom": 31.190,
  "relative_energy_ev_per_atom": 0.0000,
  "lattice_angstrom": [[5.383, 0.000, 0.000], [0.000, 5.383, 0.000], [0.000, 0.000, 5.383]],
  "species": ["Sr", "Sc", "Br", "Br", "Br"],
  "fractional_positions": [[0.000, 0.000, 0.000], [0.500, 0.500, 0.500], [0.000, 0.500, 0.500], [0.500, 0.000, 0.500], [0.500, 0.500, 0.000]]
}

2.
{
  "formula": "SrSc2Br",
  "functional": "PBE-GGA",
  "state": "optimized geometry",
  "total_magnetization_mub_per_fu": 0.85,
  "final_energy_ev_per_cell": -16.82,
  "dos_ef_per_ev_atom": 1.487,
  "volume_a3_per_atom": 28.391,
  "relative_energy_ev_per_atom": 0.2381,
  "lattice_angstrom": [[1.792, 1.035, 10.204], [-1.792, 1.035, 10.204], [0.000, -2.070, 10.204]],
  "species": ["Sr", "Sc", "Sc", "Br"],
  "fractional_positions": [[0.000, 0.000, 0.000], [0.236, 0.236, 0.236], [0.764, 0.764, 0.764], [0.500, 0.500, 0.500]]
}

3.
{
  "formula": "SrSc2Br",
  "functional": "PBE-GGA",
  "state": "optimized geometry",
  "total_magnetization_mub_per_fu": 0.32,
  "final_energy_ev_per_cell": -16.64,
  "dos_ef_per_ev_atom": 1.492,
  "volume_a3_per_atom": 30.966,
  "relative_energy_ev_per_atom": 0.2826,
  "lattice_angstrom": [[-1.759, 3.187, 5.524], [1.759, -3.187, 5.524], [1.759, 3.187, -5.524]],
  "species": ["Sr", "Sc", "Sc", "Br"],
  "fractional_positions": [[0.000, 0.000, 0.000], [0.441, 0.441, 0.000], [0.678, 0.178, 0.500], [0.244, 0.744, 0.500]]
}

4.
{
  "formula": "SrSc3Br",
  "functional": "PBE-GGA",
  "state": "optimized geometry",
  "total_magnetization_mub_per_fu": 0.23,
  "final_energy_ev_per_cell": -22.36,
  "dos_ef_per_ev_atom": 2.153,
  "volume_a3_per_atom": 29.046,
  "relative_energy_ev_per_atom": 0.0000,
  "lattice_angstrom": [[5.256, 0.000, 0.000], [0.000, 5.256, 0.000], [0.000, 0.000, 5.256]],
  "species": ["Sr", "Sc", "Sc", "Sc", "Br"],
  "fractional_positions": [[0.000, 0.000, 0.000], [0.000, 0.500, 0.500], [0.500, 0.000, 0.500], [0.500, 0.500, 0.000], [0.500, 0.500, 0.500]]
}

5.
{
  "formula": "SrSc2Br",
  "functional": "PBE-GGA",
  "state": "optimized geometry",
  "total_magnetization_mub_per_fu": 0.00,
  "final_energy_ev_per_cell": -17.16,
  "dos_ef_per_ev_atom": 0.973,
  "volume_a3_per_atom": 28.113,
  "relative_energy_ev_per_atom": 0.1517,
  "lattice_angstrom": [[6.569, -1.708, 0.000], [6.569, 1.708, 0.000], [-2.309, 0.000, 5.010]],
  "species": ["Sr", "Sc", "Sc", "Br"],
  "fractional_positions": [[0.000, 0.000, 0.000], [0.216, 0.216, 0.716], [0.784, 0.784, 0.284], [0.500, 0.500, 0.500]]
}

6.
{
  "formula": "SrSc2Br",
  "functional": "PBE-GGA",
  "state": "optimized geometry",
  "total_magnetization_mub_per_fu": 2.26,
  "final_energy_ev_per_cell": -15.86,
  "dos_ef_per_ev_atom": 1.177,
  "volume_a3_per_atom": 31.783,
  "relative_energy_ev_per_atom": 0.4767,
  "lattice_angstrom": [[3.050, -5.834, 0.000], [3.050, 5.834, 0.000], [0.000, 0.000, 3.572]],
  "species": ["Sr", "Sc", "Sc", "Br"],
  "fractional_positions": [[0.000, 0.000, 0.000], [0.000, 0.500, 0.500], [0.500, 0.000, 0.500], [0.500, 0.500, 0.000]]
}

7.
{
  "formula": "SrSc2Br",
  "functional": "PBE-GGA",
  "state": "optimized geometry",
  "total_magnetization_mub_per_fu": 2.89,
  "final_energy_ev_per_cell": -15.25,
  "dos_ef_per_ev_atom": 2.069,
  "volume_a3_per_atom": 30.554,
  "relative_energy_ev_per_atom": 0.6298,
  "lattice_angstrom": [[0.000, 3.939, 3.939], [3.939, 0.000, 3.939], [3.939, 3.939, 0.000]],
  "species": ["Sr", "Sc", "Sc", "Br"],
  "fractional_positions": [[0.000, 0.000, 0.000], [0.250, 0.250, 0.250], [0.500, 0.500, 0.500], [0.750, 0.750, 0.750]]
}

8.
{
  "formula": "SrSc2Br",
  "functional": "PBE-GGA",
  "state": "optimized geometry",
  "total_magnetization_mub_per_fu": 0.72,
  "final_energy_ev_per_cell": -16.53,
  "dos_ef_per_ev_atom": 1.097,
  "volume_a3_per_atom": 32.718,
  "relative_energy_ev_per_atom": 0.3111,
  "lattice_angstrom": [[4.321, 0.000, 0.000], [0.000, 4.321, 0.000], [0.000, 0.000, 7.009]],
  "species": ["Sr", "Sc", "Sc", "Br"],
  "fractional_positions": [[0.000, 0.000, 0.000], [0.000, 0.500, 0.500], [0.500, 0.000, 0.500], [0.500, 0.500, 0.000]]
}

9.
{
  "formula": "SrSc3Br",
  "functional": "PBE-GGA",
  "state": "optimized geometry",
  "total_magnetization_mub_per_fu": 0.00,
  "final_energy_ev_per_cell": -16.01,
  "dos_ef_per_ev_atom": 1.031,
  "volume_a3_per_atom": 33.108,
  "relative_energy_ev_per_atom": 1.2699,
  "lattice_angstrom": [[5.491, 0.000, 0.000], [0.000, 5.491, 0.000], [0.000, 0.000, 5.491]],
  "species": ["Sr", "Sc", "Sc", "Sc", "Br"],
  "fractional_positions": [[0.000, 0.000, 0.000], [0.000, 0.000, 0.500], [0.000, 0.500, 0.000], [0.500, 0.000, 0.000], [0.500, 0.500, 0.500]]
}

10.
{
  "formula": "Sr3ScBr",
  "functional": "PBE-GGA",
  "state": "optimized geometry",
  "total_magnetization_mub_per_fu": 2.62,
  "final_energy_ev_per_cell": -13.89,
  "dos_ef_per_ev_atom": 2.380,
  "volume_a3_per_atom": 43.515,
  "relative_energy_ev_per_atom": 0.0000,
  "lattice_angstrom": [[6.015, 0.000, 0.000], [0.000, 6.015, 0.000], [0.000, 0.000, 6.015]],
  "species": ["Sr", "Sr", "Sr", "Sc", "Br"],
  "fractional_positions": [[0.000, 0.000, 0.500], [0.000, 0.500, 0.000], [0.500, 0.000, 0.000], [0.500, 0.500, 0.500], [0.000, 0.000, 0.000]]
}

11.
{
  "formula": "SrSc2Br",
  "functional": "PBE-GGA",
  "state": "optimized geometry",
  "total_magnetization_mub_per_fu": 0.79,
  "final_energy_ev_per_cell": -16.46,
  "dos_ef_per_ev_atom": 1.375,
  "volume_a3_per_atom": 32.553,
  "relative_energy_ev_per_atom": 0.3288,
  "lattice_angstrom": [[-2.164, 2.164, 6.953], [2.164, -2.164, 6.953], [2.164, 2.164, -6.953]],
  "species": ["Sr", "Sc", "Sc", "Br"],
  "fractional_positions": [[0.000, 0.000, 0.000], [0.250, 0.750, 0.500], [0.750, 0.250, 0.500], [0.500, 0.500, 0.000]]
}

12.
{
  "formula": "SrSc2Br",
  "functional": "PBE-GGA",
  "state": "optimized geometry",
  "total_magnetization_mub_per_fu": 2.62,
  "final_energy_ev_per_cell": -15.59,
  "dos_ef_per_ev_atom": 1.232,
  "volume_a3_per_atom": 29.813,
  "relative_energy_ev_per_atom": 0.5441,
  "lattice_angstrom": [[-2.413, 2.413, 5.122], [2.413, -2.413, 5.122], [2.413, 2.413, -5.122]],
  "species": ["Sr", "Sc", "Sc", "Br"],
  "fractional_positions": [[0.000, 0.000, 0.000], [0.500, 0.500, 0.000], [0.750, 0.250, 0.500], [0.250, 0.750, 0.500]]
}

13.
{
  "formula": "SrSc2Br",
  "functional": "PBE-GGA",
  "state": "optimized geometry",
  "total_magnetization_mub_per_fu": 0.00,
  "final_energy_ev_per_cell": -16.86,
  "dos_ef_per_ev_atom": 1.425,
  "volume_a3_per_atom": 30.544,
  "relative_energy_ev_per_atom": 0.2286,
  "lattice_angstrom": [[5.661, -1.748, 0.000], [5.661, 1.748, 0.000], [-1.902, 0.000, 6.172]],
  "species": ["Sr", "Sc", "Sc", "Br"],
  "fractional_positions": [[0.000, 0.000, 0.000], [0.554, 0.554, 0.507], [0.814, 0.814, 0.402], [0.247, 0.247, 0.743]]
}

14.
{
  "formula": "SrSc2Br",
  "functional": "PBE-GGA",
  "state": "optimized geometry",
  "total_magnetization_mub_per_fu": 0.01,
  "final_energy_ev_per_cell": -16.58,
  "dos_ef_per_ev_atom": 1.508,
  "volume_a3_per_atom": 28.818,
  "relative_energy_ev_per_atom": 0.2974,
  "lattice_angstrom": [[1.855, -3.002, 0.000], [1.855, 3.002, 0.000], [0.000, 0.000, 10.351]],
  "species": ["Sr", "Sc", "Sc", "Br"],
  "fractional_positions": [[0.000, 0.000, 0.000], [0.500, 0.500, 0.289], [0.500, 0.500, 0.711], [0.000, 0.000, 0.500]]
}

15.
{
  "formula": "SrSc2Br",
  "functional": "PBE-GGA",
  "state": "optimized geometry",
  "total_magnetization_mub_per_fu": 0.78,
  "final_energy_ev_per_cell": -16.37,
  "dos_ef_per_ev_atom": 1.288,
  "volume_a3_per_atom": 32.333,
  "relative_energy_ev_per_atom": 0.3500,
  "lattice_angstrom": [[1.823, 1.053, 11.232], [-1.823, 1.053, 11.232], [0.000, -2.105, 11.232]],
  "species": ["Sr", "Sc", "Sc", "Br"],
  "fractional_positions": [[0.000, 0.000, 0.000], [0.423, 0.423, 0.423], [0.577, 0.577, 0.577], [0.500, 0.500, 0.500]]
}